# 1
## CeH2I (GGA-PBE)

Data for CeH2I after structural relaxation.

Results
total DFT energy (no corrections) = -4.291 eV per atom
DOS at the Fermi energy = 15.23 states/eV per cell
energy above the most stable polymorph in this dataset = 33 meV per atom

a = 6.4070 Å, b = 6.4070 Å, c = 6.3822 Å
α = 90.00°, β = 90.00°, γ = 143.19°
Positions (direct):
1 Ce 0.2106 0.7894 0.7500
2 Ce 0.7894 0.2106 0.2500
3 H 0.3027 0.6973 0.0650
4 H 0.3027 0.6973 0.4350
5 H 0.6973 0.3027 0.5650
6 H 0.6973 0.3027 0.9350
7 I 0.0765 0.9235 0.2500
8 I 0.9235 0.0765 0.7500



# 2
## Ce6HOs2I3 (GGA-PBE)

Data for Ce6HOs2I3 after structural relaxation.

Results
total DFT energy (no corrections) = -6.087 eV per atom
DOS at the Fermi energy = 32.37 states/eV per cell

a = 6.9934 Å, b = 6.9934 Å, c = 8.3394 Å
α = 98.05°, β = 98.05°, γ = 119.99°
Positions (direct):
1 Ce 0.0623 0.3931 0.1870
2 Ce 0.2685 0.2685 0.8120
3 Ce 0.3931 0.0623 0.1870
4 Ce 0.6069 0.9377 0.8130
5 Ce 0.7315 0.7315 0.1880
6 Ce 0.9377 0.6069 0.8130
7 H 0.0000 0.0000 0.0000
8 Os 0.3335 0.6665 0.0000
9 Os 0.6665 0.3335 0.0000
10 I 0.1694 0.8306 0.5000
11 I 0.5000 0.5000 0.5000
12 I 0.8306 0.1694 0.5000



# 3
## Ce2PH2I (GGA-PBE)

Data for Ce2PH2I after structural relaxation.

Results
total DFT energy (no corrections) = -5.276 eV per atom
DOS at the Fermi energy = 11.19 states/eV per cell

a = 4.0140 Å, b = 4.0140 Å, c = 8.4532 Å
α = 90.00°, β = 90.00°, γ = 120.00°
Positions (direct):
1 Ce 0.3333 0.6667 0.2035
2 Ce 0.6667 0.3333 0.7965
3 P 0.0000 0.0000 0.0000
4 H 0.3333 0.6667 0.7634
5 H 0.6667 0.3333 0.2366
6 I 0.0000 0.0000 0.5000



# 4
## Ce2H2SeI (GGA-PBE)

Data for Ce2H2SeI after structural relaxation.

Results
total DFT energy (no corrections) = -5.042 eV per atom
DOS at the Fermi energy = 13.37 states/eV per cell

a = 4.0338 Å, b = 4.0338 Å, c = 8.7982 Å
α = 90.00°, β = 90.00°, γ = 120.00°
Positions (direct):
1 Ce 0.3333 0.6667 0.2126
2 Ce 0.6667 0.3333 0.7874
3 H 0.3333 0.6667 0.7560
4 H 0.6667 0.3333 0.2440
5 Se 0.0000 0.0000 0.0000
6 I 0.0000 0.0000 0.5000



# 5
## Ce2TeH2I (GGA-PBE)

Data for Ce2TeH2I after structural relaxation.

Results
total DFT energy (no corrections) = -4.828 eV per atom
DOS at the Fermi energy = 13.96 states/eV per cell

a = 4.1094 Å, b = 4.1094 Å, c = 9.2101 Å
α = 90.00°, β = 90.00°, γ = 120.00°
Positions (direct):
1 Ce 0.3333 0.6667 0.2305
2 Ce 0.6667 0.3333 0.7695
3 Te 0.0000 0.0000 0.0000
4 H 0.3333 0.6667 0.7485
5 H 0.6667 0.3333 0.2515
6 I 0.0000 0.0000 0.5000



# 6
## Ce3In5H12 (GGA-PBE)

Data for Ce3In5H12 after structural relaxation.

Results
total DFT energy (no corrections) = -3.605 eV per atom
DOS at the Fermi energy = 20.14 states/eV per cell

a = 11.2452 Å, b = 11.2452 Å, c = 11.2452 Å
α = 109.47°, β = 109.47°, γ = 109.47°
Positions (direct):
1 Ce 0.1250 0.2500 0.3750
2 Ce 0.1250 0.3750 0.7500
3 Ce 0.2500 0.3750 0.1250
4 Ce 0.2500 0.8750 0.6250
5 Ce 0.3750 0.1250 0.2500
6 Ce 0.3750 0.7500 0.1250
7 Ce 0.6250 0.2500 0.8750
8 Ce 0.6250 0.8750 0.7500
9 Ce 0.7500 0.1250 0.3750
10 Ce 0.7500 0.6250 0.8750
11 Ce 0.8750 0.6250 0.2500
12 Ce 0.8750 0.7500 0.6250
13 In 0.0000 0.0000 0.0000
14 In 0.0000 0.0000 0.5000
15 In 0.0000 0.5000 0.0000
16 In 0.0000 0.5000 0.5000
17 In 0.1250 0.7500 0.8750
18 In 0.1250 0.8750 0.2500
19 In 0.2500 0.1250 0.8750
20 In 0.2500 0.6250 0.3750
21 In 0.3750 0.2500 0.6250
22 In 0.3750 0.6250 0.7500
23 In 0.5000 0.0000 0.0000
24 In 0.5000 0.0000 0.5000
25 In 0.5000 0.5000 0.0000
26 In 0.5000 0.5000 0.5000
27 In 0.6250 0.3750 0.2500
28 In 0.6250 0.7500 0.3750
29 In 0.7500 0.3750 0.6250
30 In 0.7500 0.8750 0.1250
31 In 0.8750 0.1250 0.7500
32 In 0.8750 0.2500 0.1250
33 H 0.0813 0.2445 0.1632
34 H 0.0813 0.3368 0.9181
35 H 0.0813 0.7445 0.6632
36 H 0.0813 0.8368 0.4181
37 H 0.0819 0.6632 0.4187
38 H 0.0819 0.9187 0.6632
39 H 0.1632 0.0813 0.2445
40 H 0.1632 0.2445 0.5813
41 H 0.1632 0.4187 0.5819
42 H 0.1632 0.5819 0.9187
43 H 0.2445 0.1632 0.0813
44 H 0.2445 0.5813 0.1632
45 H 0.2555 0.3368 0.9187
46 H 0.2555 0.4187 0.3368
47 H 0.3368 0.2555 0.4187
48 H 0.3368 0.5813 0.9181
49 H 0.3368 0.9181 0.0813
50 H 0.3368 0.9187 0.2555
51 H 0.4181 0.0813 0.8368
52 H 0.4181 0.8368 0.5813
53 H 0.4187 0.0819 0.6632
54 H 0.4187 0.3368 0.2555
55 H 0.4187 0.5819 0.1632
56 H 0.4187 0.8368 0.7555
57 H 0.5813 0.1632 0.2445
58 H 0.5813 0.4181 0.8368
59 H 0.5813 0.6632 0.7445
60 H 0.5813 0.9181 0.3368
61 H 0.5819 0.1632 0.4187
62 H 0.5819 0.9187 0.1632
63 H 0.6632 0.0813 0.7445
64 H 0.6632 0.0819 0.9187
65 H 0.6632 0.4187 0.0819
66 H 0.6632 0.7445 0.5813
67 H 0.7445 0.5813 0.6632
68 H 0.7445 0.6632 0.0813
69 H 0.7555 0.4187 0.8368
70 H 0.7555 0.8368 0.9187
71 H 0.8368 0.4181 0.0813
72 H 0.8368 0.5813 0.4181
73 H 0.8368 0.7555 0.4187
74 H 0.8368 0.9187 0.7555
75 H 0.9181 0.0813 0.3368
76 H 0.9181 0.3368 0.5813
77 H 0.9187 0.1632 0.5819
78 H 0.9187 0.2555 0.3368
79 H 0.9187 0.6632 0.0819
80 H 0.9187 0.7555 0.8368